Computed, not measured: an optimized crystal structure of LiCuMo2 at the PBE-GGA level of DFT.

Output
The magnetic moment comes out at 0.0 Bohr magnetons per cell. The energy comes out at -6.679 eV per atom. The calculation puts the formation energy at 0.96 eV/f.u. The crystal system is monoclinic.

The structure in POSCAR format:
```
LiCuMo2
1.0
4.299 0.000 0.000
0.000 2.554 -0.022
0.000 0.608 5.175
Li Cu Mo
1 1 2
direct
0.500 0.666 0.746
0.000 0.608 0.510
0.000 0.003 0.995
0.500 0.224 0.249
```